(1)
# TaAgRh2, relaxed, DFT PBEsol
data_TaAgRh2
_chemical_formula_sum 'Ta1 Ag1 Rh2'
_symmetry_space_group_name_H-M 'P 1'
_symmetry_Int_Tables_number 1
_cell_length_a 3.358
_cell_length_b 3.358
_cell_length_c 5.510
_cell_angle_alpha 90.00
_cell_angle_beta 90.00
_cell_angle_gamma 90.00
loop_
_symmetry_equiv_pos_as_xyz
'x,y,z'
loop_
_atom_site_label
_atom_site_fract_x
_atom_site_fract_y
_atom_site_fract_z
Ta1 0.000 0.000 0.000
Ag1 0.500 0.500 0.297
Rh1 0.000 0.000 0.540
Rh2 0.500 0.500 0.805
# V in Å³ per cell: 62
# Uncorrected energy in eV for the cell shown: -32.14
# Size of the total moment in μB per formula unit: 0.00

---

(2)
# TaAgRh2, relaxed, DFT PBEsol
data_TaAgRh2
_chemical_formula_sum 'Ta1 Ag1 Rh2'
_symmetry_space_group_name_H-M 'P 1'
_symmetry_Int_Tables_number 1
_cell_length_a 9.336
_cell_length_b 9.336
_cell_length_c 9.336
_cell_angle_alpha 17.04
_cell_angle_beta 17.04
_cell_angle_gamma 17.04
loop_
_symmetry_equiv_pos_as_xyz
'x,y,z'
loop_
_atom_site_label
_atom_site_fract_x
_atom_site_fract_y
_atom_site_fract_z
Ta1 0.000 0.000 0.000
Ag1 0.243 0.243 0.243
Rh1 0.493 0.493 0.493
Rh2 0.747 0.747 0.747
# V in Å³ per cell: 61
# Uncorrected energy in eV for the cell shown: -31.75
# Size of the total moment in μB per formula unit: 0.01

---

(3)
# TaAgRh2, relaxed, DFT PBEsol
data_TaAgRh2
_chemical_formula_sum 'Ta1 Ag1 Rh2'
_symmetry_space_group_name_H-M 'P 1'
_symmetry_Int_Tables_number 1
_cell_length_a 4.889
_cell_length_b 4.889
_cell_length_c 4.889
_cell_angle_alpha 133.94
_cell_angle_beta 133.94
_cell_angle_gamma 67.18
loop_
_symmetry_equiv_pos_as_xyz
'x,y,z'
loop_
_atom_site_label
_atom_site_fract_x
_atom_site_fract_y
_atom_site_fract_z
Ta1 0.000 0.000 0.000
Ag1 0.750 0.250 0.500
Rh1 0.250 0.750 0.500
Rh2 0.500 0.500 0.000
# V in Å³ per cell: 60
# Uncorrected energy in eV for the cell shown: -32.96
# Size of the total moment in μB per formula unit: 0.00

---

(4)
# TaAgRh, relaxed, DFT PBEsol
data_TaAgRh
_chemical_formula_sum 'Ta1 Ag1 Rh1'
_symmetry_space_group_name_H-M 'P 1'
_symmetry_Int_Tables_number 1
_cell_length_a 4.418
_cell_length_b 4.418
_cell_length_c 2.799
_cell_angle_alpha 90.00
_cell_angle_beta 90.00
_cell_angle_gamma 120.00
loop_
_symmetry_equiv_pos_as_xyz
'x,y,z'
loop_
_atom_site_label
_atom_site_fract_x
_atom_site_fract_y
_atom_site_fract_z
Ta1 0.000 0.000 0.000
Ag1 0.333 0.667 0.598
Rh1 0.667 0.333 0.207
# V in Å³ per cell: 47
# Uncorrected energy in eV for the cell shown: -24.07
# Size of the total moment in μB per formula unit: 0.00

---

(5)
# Tc2AgRh, relaxed, DFT PBEsol
data_Tc2AgRh
_chemical_formula_sum 'Tc2 Ag1 Rh1'
_symmetry_space_group_name_H-M 'P 1'
_symmetry_Int_Tables_number 1
_cell_length_a 2.726
_cell_length_b 2.726
_cell_length_c 7.782
_cell_angle_alpha 90.00
_cell_angle_beta 90.00
_cell_angle_gamma 90.00
loop_
_symmetry_equiv_pos_as_xyz
'x,y,z'
loop_
_atom_site_label
_atom_site_fract_x
_atom_site_fract_y
_atom_site_fract_z
Tc1 0.000 0.000 0.000
Tc2 0.500 0.500 0.230
Ag1 0.000 0.000 0.502
Rh1 0.500 0.500 0.767
# V in Å³ per cell: 58
# Uncorrected energy in eV for the cell shown: -33.27
# Size of the total moment in μB per formula unit: 0.00

---

(6)
# TcAgRh2, relaxed, DFT PBEsol
data_TcAgRh2
_chemical_formula_sum 'Tc1 Ag1 Rh2'
_symmetry_space_group_name_H-M 'P 1'
_symmetry_Int_Tables_number 1
_cell_length_a 4.346
_cell_length_b 4.346
_cell_length_c 4.346
_cell_angle_alpha 60.00
_cell_angle_beta 60.00
_cell_angle_gamma 60.00
loop_
_symmetry_equiv_pos_as_xyz
'x,y,z'
loop_
_atom_site_label
_atom_site_fract_x
_atom_site_fract_y
_atom_site_fract_z
Tc1 0.000 0.000 0.000
Ag1 0.500 0.500 0.500
Rh1 0.250 0.250 0.250
Rh2 0.750 0.750 0.750
# V in Å³ per cell: 58
# Uncorrected energy in eV for the cell shown: -29.19
# Size of the total moment in μB per formula unit: 1.97

---

(7)
# Tc2AgRh, relaxed, DFT PBEsol
data_Tc2AgRh
_chemical_formula_sum 'Tc2 Ag1 Rh1'
_symmetry_space_group_name_H-M 'P 1'
_symmetry_Int_Tables_number 1
_cell_length_a 4.802
_cell_length_b 4.802
_cell_length_c 4.666
_cell_angle_alpha 99.74
_cell_angle_beta 99.74
_cell_angle_gamma 32.76
loop_
_symmetry_equiv_pos_as_xyz
'x,y,z'
loop_
_atom_site_label
_atom_site_fract_x
_atom_site_fract_y
_atom_site_fract_z
Tc1 0.243 0.243 0.236
Tc2 0.757 0.757 0.764
Ag1 0.000 0.000 0.500
Rh1 0.500 0.500 0.000
# V in Å³ per cell: 57
# Uncorrected energy in eV for the cell shown: -32.75
# Size of the total moment in μB per formula unit: 0.00

---

(8)
# Tc2AgRh, relaxed, DFT PBEsol
data_Tc2AgRh
_chemical_formula_sum 'Tc2 Ag1 Rh1'
_symmetry_space_group_name_H-M 'P 1'
_symmetry_Int_Tables_number 1
_cell_length_a 4.684
_cell_length_b 4.684
_cell_length_c 4.684
_cell_angle_alpha 131.09
_cell_angle_beta 131.09
_cell_angle_gamma 71.67
loop_
_symmetry_equiv_pos_as_xyz
'x,y,z'
loop_
_atom_site_label
_atom_site_fract_x
_atom_site_fract_y
_atom_site_fract_z
Tc1 0.000 0.000 0.000
Tc2 0.750 0.250 0.500
Ag1 0.500 0.500 0.000
Rh1 0.250 0.750 0.500
# V in Å³ per cell: 57
# Uncorrected energy in eV for the cell shown: -32.58
# Size of the total moment in μB per formula unit: 0.00